# 1
{
  "formula": "LaTbNdTh",
  "functional": "PBE-GGA",
  "state": "relaxed",
  "dos_at_fermi_per_ev_fu": 8.45,
  "magmom_total_mub_per_fu": 0.00,
  "e_form_ev_per_atom": 0.16,
  "space_group": "No. 216",
  "polymorph_energy_mev_per_atom": 131,
  "lattice": [[5.783, 0.000, 0.000], [2.892, 5.008, 0.000], [2.892, 1.669, 4.722]],
  "species": ["Nd", "Tb", "Th", "La"],
  "fractional_positions": [[0.250, 0.250, 0.250], [0.750, 0.750, 0.750], [0.000, 0.000, 0.000], [0.500, 0.500, 0.500]]
}



# 2
{
  "formula": "Ca3PdC",
  "functional": "PBE-GGA",
  "state": "relaxed",
  "dos_at_fermi_per_ev_fu": 1.68,
  "magmom_total_mub_per_fu": 0.00,
  "e_form_ev_per_atom": -0.02,
  "space_group": "No. 221",
  "polymorph_energy_mev_per_atom": 0,
  "lattice": [[-1.476, -2.060, 4.271], [-1.702, -3.945, -2.491], [4.426, -2.204, 0.466]],
  "species": ["Ca", "Ca", "Ca", "C", "Pd"],
  "fractional_positions": [[0.000, 0.500, 0.000], [0.000, 0.000, 0.500], [0.500, 0.000, 0.000], [0.000, 0.000, 0.000], [0.500, 0.500, 0.500]]
}



# 3
{
  "formula": "LiNiRuW",
  "functional": "PBE-GGA",
  "state": "relaxed",
  "dos_at_fermi_per_ev_fu": 4.42,
  "magmom_total_mub_per_fu": 0.00,
  "e_form_ev_per_atom": 0.06,
  "space_group": "No. 216",
  "lattice": [[-3.765, -1.789, -0.626], [-0.440, -4.175, 0.385], [-2.140, -1.603, 3.259]],
  "species": ["Ru", "Li", "W", "Ni"],
  "fractional_positions": [[0.750, 0.750, 0.750], [0.000, 0.000, 0.000], [0.500, 0.500, 0.500], [0.250, 0.250, 0.250]]
}



# 4
{
  "formula": "La5Pd2Au2",
  "functional": "PBE-GGA",
  "state": "relaxed",
  "dos_at_fermi_per_ev_fu": 9.98,
  "magmom_total_mub_per_fu": 0.00,
  "e_form_ev_per_atom": -0.70,
  "space_group": "No. 64",
  "lattice": [[7.312, 0.000, 2.654], [0.000, 8.038, 0.000], [0.884, 0.000, 8.964]],
  "species": ["La", "La", "La", "La", "La", "La", "La", "La", "La", "La", "Pd", "Pd", "Pd", "Pd", "Au", "Au", "Au", "Au"],
  "fractional_positions": [[0.000, 0.000, 0.000], [0.500, 0.500, 0.000], [0.465, 0.170, 0.729], [0.806, 0.830, 0.729], [0.306, 0.670, 0.729], [0.965, 0.330, 0.729], [0.535, 0.830, 0.271], [0.194, 0.170, 0.271], [0.694, 0.330, 0.271], [0.035, 0.670, 0.271], [0.129, 0.372, 0.000], [0.871, 0.628, 0.000], [0.371, 0.872, 0.000], [0.629, 0.128, 0.000], [0.209, 0.000, 0.583], [0.709, 0.500, 0.583], [0.791, 0.000, 0.417], [0.291, 0.500, 0.417]]
}



# 5
{
  "formula": "BaTl4Hg4",
  "functional": "PBE-GGA",
  "state": "relaxed",
  "dos_at_fermi_per_ev_fu": 4.51,
  "magmom_total_mub_per_fu": 0.00,
  "e_form_ev_per_atom": -0.18,
  "space_group": "No. 139",
  "polymorph_energy_mev_per_atom": 0,
  "lattice": [[4.241, 0.000, 1.436], [2.121, 7.805, 0.718], [-0.383, 0.000, 8.111]],
  "species": ["Ba", "Tl", "Tl", "Tl", "Tl", "Hg", "Hg", "Hg", "Hg"],
  "fractional_positions": [[0.000, 0.000, 0.000], [0.000, 0.667, 0.333], [0.000, 0.333, 0.667], [0.667, 0.333, 0.333], [0.333, 0.667, 0.667], [0.322, 0.355, 0.000], [0.678, 0.645, 0.000], [0.678, 0.000, 0.645], [0.322, 0.000, 0.355]]
}



# 6
{
  "formula": "FeCoSe",
  "functional": "PBE-GGA",
  "state": "relaxed",
  "dos_at_fermi_per_ev_fu": 1.94,
  "magmom_total_mub_per_fu": 4.65,
  "raw_formation_energy_ev_per_fu": 0.11,
  "space_group": "No. 216",
  "polymorph_energy_mev_per_atom": 0,
  "lattice": [[-3.585, 0.920, -1.463], [-3.225, -0.276, 2.316], [-1.861, 3.299, 1.221]],
  "species": ["Co", "Fe", "Se"],
  "fractional_positions": [[0.750, 0.750, 0.750], [0.000, 0.000, 0.000], [0.500, 0.500, 0.500]]
}



# 7
{
  "formula": "VTcAu2",
  "functional": "PBE-GGA",
  "state": "relaxed",
  "dos_at_fermi_per_ev_fu": 6.08,
  "magmom_total_mub_per_fu": 0.94,
  "e_form_ev_per_atom": 0.39,
  "space_group": "No. 225",
  "polymorph_energy_mev_per_atom": 0,
  "lattice": [[2.857, -0.821, 3.436], [-0.718, 1.914, 4.058], [-1.343, -2.553, 3.511]],
  "species": ["Au", "Au", "Tc", "V"],
  "fractional_positions": [[0.250, 0.250, 0.250], [0.750, 0.750, 0.750], [0.500, 0.500, 0.500], [0.000, 0.000, 0.000]]
}



# 8
{
  "formula": "TaCd3I",
  "functional": "PBE-GGA",
  "state": "relaxed",
  "dos_at_fermi_per_ev_fu": 8.07,
  "magmom_total_mub_per_fu": 2.44,
  "raw_formation_energy_ev_per_fu": 4.70,
  "space_group": "No. 221",
  "polymorph_energy_mev_per_atom": 0,
  "lattice": [[5.650, 0.000, 0.000], [0.000, 5.650, 0.000], [0.000, 0.000, 5.650]],
  "species": ["I", "Cd", "Cd", "Cd", "Ta"],
  "fractional_positions": [[0.500, 0.500, 0.500], [0.000, 0.500, 0.000], [0.000, 0.000, 0.500], [0.500, 0.000, 0.000], [0.000, 0.000, 0.000]]
}



# 9
{
  "formula": "Li2AlNiH6",
  "functional": "PBE-GGA",
  "state": "relaxed",
  "dos_at_fermi_per_ev_fu": 1.78,
  "dft_energy_ev_per_cell": -34.9,
  "magmom_total_mub_per_fu": 0.00,
  "space_group": "No. 1",
  "lattice": [[-1.459, -4.454, 0.903], [2.240, 2.489, 3.389], [-3.238, 3.543, -0.460]],
  "species": ["Li", "Li", "Al", "Ni", "H", "H", "H", "H", "H", "H"],
  "fractional_positions": [[0.494, 0.744, 0.235], [0.506, 0.255, 0.736], [0.996, 0.498, 0.480], [0.996, 0.997, 0.980], [0.513, 0.831, 0.720], [0.479, 0.165, 0.237], [0.903, 0.740, 0.206], [0.056, 0.303, 0.217], [0.935, 0.692, 0.740], [0.088, 0.253, 0.752]]
}